[1]
# PBE-GGA BaMgZn2Si, relaxed
# total DFT energy (no corrections)	-2.47	eV per atom
data_BaMgZn2Si
_symmetry_space_group_name_H-M 'I 4 m m'
_symmetry_Int_Tables_number 107
_symmetry_space_group_name_Hall 'I 4 -2'
_cell_length_a 4.491
_cell_length_b 4.491
_cell_length_c 11.501
_cell_angle_alpha 90.00
_cell_angle_beta 90.00
_cell_angle_gamma 90.00
loop_
_atom_site_label
_atom_site_type_symbol
_atom_site_fract_x
_atom_site_fract_y
_atom_site_fract_z
Ba1 Ba 0.000 0.000 0.000
Mg1 Mg 0.000 0.000 0.379
Zn1 Zn 0.000 0.500 0.237
Si1 Si 0.000 0.000 0.621

=====

[2]
# PBE-GGA ZnBW2, relaxed
# distance to the lowest polymorph of the same formula	0.0000	eV/atom
# total DFT energy (no corrections)	-8.47	eV per atom
data_ZnBW2
_symmetry_space_group_name_H-M 'P 63/m m c'
_symmetry_Int_Tables_number 194
_symmetry_space_group_name_Hall '-P 6c 2c'
_cell_length_a 3.0771
_cell_length_b 3.0771
_cell_length_c 13.4836
_cell_angle_alpha 90.00
_cell_angle_beta 90.00
_cell_angle_gamma 120.00
loop_
_atom_site_label
_atom_site_type_symbol
_atom_site_fract_x
_atom_site_fract_y
_atom_site_fract_z
Zn1 Zn 0.3333 0.6667 0.2500
B1 B 0.0000 0.0000 0.0000
W1 W 0.3333 0.6667 0.5899

=====

[3]
# PBE-GGA Hf4TlBiC2, relaxed
# total DFT energy (no corrections)	-8.69	eV per atom
data_Hf4TlBiC2
_symmetry_space_group_name_H-M 'P -6 m 2'
_symmetry_Int_Tables_number 187
_symmetry_space_group_name_Hall 'P -6 2'
_cell_length_a 3.3826
_cell_length_b 3.3826
_cell_length_c 14.6506
_cell_angle_alpha 90.00
_cell_angle_beta 90.00
_cell_angle_gamma 120.00
loop_
_atom_site_label
_atom_site_type_symbol
_atom_site_fract_x
_atom_site_fract_y
_atom_site_fract_z
Hf1 Hf 0.0000 0.0000 0.1673
Hf2 Hf 0.6667 0.3333 0.3301
Tl1 Tl 0.0000 0.0000 0.5000
Bi1 Bi 0.6667 0.3333 0.0000
C1 C 0.3333 0.6667 0.2490

=====

[4]
# PBE-GGA TbGdNi2P2, relaxed
# total DFT energy (no corrections)	-6.43	eV per atom
data_TbGdNi2P2
_symmetry_space_group_name_H-M 'P -3 m 1'
_symmetry_Int_Tables_number 164
_symmetry_space_group_name_Hall '-P 3 2"'
_cell_length_a 3.9090
_cell_length_b 3.9090
_cell_length_c 7.7791
_cell_angle_alpha 90.00
_cell_angle_beta 90.00
_cell_angle_gamma 120.00
loop_
_atom_site_label
_atom_site_type_symbol
_atom_site_fract_x
_atom_site_fract_y
_atom_site_fract_z
Tb1 Tb 0.0000 0.0000 0.0000
Gd1 Gd 0.0000 0.0000 0.5000
Ni1 Ni 0.3333 0.6667 0.2499
P1 P 0.3333 0.6667 0.7501

=====

[5]
# PBE-GGA LiTbHgTe3, relaxed
# distance to the lowest polymorph of the same formula	0.0069	eV/atom
# total DFT energy (no corrections)	-3.52	eV per atom
data_LiTbHgTe3
_symmetry_space_group_name_H-M 'P n m a'
_symmetry_Int_Tables_number 62
_symmetry_space_group_name_Hall '-P 2ac 2n'
_cell_length_a 13.727
_cell_length_b 4.327
_cell_length_c 12.774
_cell_angle_alpha 90.00
_cell_angle_beta 90.00
_cell_angle_gamma 90.00
loop_
_atom_site_label
_atom_site_type_symbol
_atom_site_fract_x
_atom_site_fract_y
_atom_site_fract_z
Li1 Li 0.115 0.250 0.010
Tb1 Tb 0.060 0.250 0.677
Hg1 Hg 0.231 0.250 0.287
Te1 Te 0.065 0.750 0.856
Te2 Te 0.074 0.250 0.422
Te3 Te 0.224 0.750 0.134

=====

[6]
# PBE-GGA NdGdAl4Ni2, relaxed
# total DFT energy (no corrections)	-5.05	eV per atom
data_NdGdAl4Ni2
_symmetry_space_group_name_H-M 'A m m 2'
_symmetry_Int_Tables_number 38
_symmetry_space_group_name_Hall 'A 2 -2'
_cell_length_a 6.904
_cell_length_b 4.062
_cell_length_c 10.555
_cell_angle_alpha 90.00
_cell_angle_beta 90.00
_cell_angle_gamma 90.00
loop_
_atom_site_label
_atom_site_type_symbol
_atom_site_fract_x
_atom_site_fract_y
_atom_site_fract_z
Nd1 Nd 0.000 0.000 0.000
Gd1 Gd 0.500 0.000 0.887
Al1 Al 0.196 0.000 0.280
Al2 Al 0.307 0.000 0.608
Ni1 Ni 0.000 0.000 0.725
Ni2 Ni 0.500 0.000 0.161

=====

[7]
# PBE-GGA LaNd2Sn4Pb3, relaxed
# total DFT energy (no corrections)	-4.71	eV per atom
data_LaNd2Sn4Pb3
_symmetry_space_group_name_H-M 'C m m m'
_symmetry_Int_Tables_number 65
_symmetry_space_group_name_Hall '-C 2 2'
_cell_length_a 4.640
_cell_length_b 25.990
_cell_length_c 4.806
_cell_angle_alpha 90.00
_cell_angle_beta 90.00
_cell_angle_gamma 90.00
loop_
_atom_site_label
_atom_site_type_symbol
_atom_site_fract_x
_atom_site_fract_y
_atom_site_fract_z
La1 La 0.000 0.000 0.000
Nd1 Nd 0.000 0.188 0.000
Sn1 Sn 0.000 0.290 0.500
Sn2 Sn 0.000 0.403 0.000
Pb1 Pb 0.000 0.099 0.500
Pb2 Pb 0.000 0.500 0.500

=====

[8]
# PBE-GGA BeOsNO, relaxed
# distance to the lowest polymorph of the same formula	1.1004	eV/atom
# total DFT energy (no corrections)	-6.67	eV per atom
data_BeOsNO
_symmetry_space_group_name_H-M 'P 4/n m m'
_symmetry_Int_Tables_number 129
_cell_length_a 3.136
_cell_length_b 3.136
_cell_length_c 7.505
_cell_angle_alpha 90.00
_cell_angle_beta 90.00
_cell_angle_gamma 90.00
loop_
_symmetry_equiv_pos_as_xyz
'x,y,z'
'-x,-y,-z'
'-y+1/2,x,z'
'y+1/2,-x,-z'
'-x+1/2,-y+1/2,z'
'x+1/2,y+1/2,-z'
'y,-x+1/2,z'
'-y,x+1/2,-z'
'x+1/2,-y,-z'
'-x+1/2,y,z'
'-y,-x,-z'
'y,x,z'
'-x,y+1/2,-z'
'x,-y+1/2,z'
'y+1/2,x+1/2,-z'
'-y+1/2,-x+1/2,z'
loop_
_atom_site_label
_atom_site_type_symbol
_atom_site_fract_x
_atom_site_fract_y
_atom_site_fract_z
Be1 Be 0.250 0.750 0.000
Os1 Os 0.250 0.250 0.324
N1 N 0.250 0.250 0.888
O1 O 0.250 0.750 0.500